1.
# NaLi2Hg, relaxed, DFT GGA-PBE
# formation energy from the elements	-0.1865	eV per atom
# calculated total energy	-6.194	eV per cell
# total moment	0.0	μB/f.u.
data_NaLi2Hg
_chemical_formula_sum 'Na1 Li2 Hg1'
_space_group_name_H-M_alt 'P 1'
_space_group_IT_number 1
_cell_length_a 3.600
_cell_length_b 3.600
_cell_length_c 6.784
_cell_angle_alpha 90.00
_cell_angle_beta 90.00
_cell_angle_gamma 90.00
loop_
_space_group_symop_operation_xyz
'x,y,z'
loop_
_atom_site_label
_atom_site_fract_x
_atom_site_fract_y
_atom_site_fract_z
Na1 0.000 0.000 0.000
Li1 0.500 0.500 0.304
Li2 0.500 0.500 0.696
Hg1 0.000 0.000 0.500

---

2.
# NaLiHg, relaxed, DFT GGA-PBE
# formation energy from the elements	-0.2194	eV per atom
# energy above the most stable polymorph in this dataset	0	meV/atom
# calculated total energy	-8.385	eV per cell
# total moment	0.0	μB/f.u.
data_NaLiHg
_chemical_formula_sum 'Na2 Li2 Hg2'
_space_group_name_H-M_alt 'P 1'
_space_group_IT_number 1
_cell_length_a 4.323
_cell_length_b 4.323
_cell_length_c 7.853
_cell_angle_alpha 90.00
_cell_angle_beta 90.00
_cell_angle_gamma 90.00
loop_
_space_group_symop_operation_xyz
'x,y,z'
loop_
_atom_site_label
_atom_site_fract_x
_atom_site_fract_y
_atom_site_fract_z
Na1 0.250 0.250 0.141
Na2 0.750 0.750 0.859
Li1 0.250 0.750 0.500
Li2 0.750 0.250 0.500
Hg1 0.250 0.250 0.729
Hg2 0.750 0.750 0.271

---

3.
# Na2Li2Hg5, relaxed, DFT GGA-PBE
# formation energy from the elements	-0.2063	eV per atom
# calculated total energy	-19.662	eV per cell
# total moment	0.0	μB/f.u.
data_Na2Li2Hg5
_chemical_formula_sum 'Na4 Li4 Hg10'
_space_group_name_H-M_alt 'P 1'
_space_group_IT_number 1
_cell_length_a 9.416
_cell_length_b 9.416
_cell_length_c 6.933
_cell_angle_alpha 90.00
_cell_angle_beta 90.00
_cell_angle_gamma 44.64
loop_
_space_group_symop_operation_xyz
'x,y,z'
loop_
_atom_site_label
_atom_site_fract_x
_atom_site_fract_y
_atom_site_fract_z
Na1 0.222 0.222 0.000
Na2 0.278 0.278 0.500
Na3 0.722 0.722 0.500
Na4 0.778 0.778 0.000
Li1 0.144 0.856 0.642
Li2 0.356 0.644 0.142
Li3 0.644 0.356 0.858
Li4 0.856 0.144 0.358
Hg1 0.000 0.000 0.000
Hg2 0.045 0.717 0.344
Hg3 0.217 0.545 0.844
Hg4 0.283 0.955 0.344
Hg5 0.455 0.783 0.844
Hg6 0.500 0.500 0.500
Hg7 0.545 0.217 0.156
Hg8 0.717 0.045 0.656
Hg9 0.783 0.455 0.156
Hg10 0.955 0.283 0.656

---

4.
# Na2Li3Hg2, relaxed, DFT GGA-PBE
# formation energy from the elements	-0.2074	eV per atom
# energy above the most stable polymorph in this dataset	0	meV/atom
# calculated total energy	-10.435	eV per cell
# total moment	0.0	μB/f.u.
data_Na2Li3Hg2
_chemical_formula_sum 'Na2 Li3 Hg2'
_space_group_name_H-M_alt 'P 1'
_space_group_IT_number 1
_cell_length_a 5.355
_cell_length_b 5.355
_cell_length_c 7.612
_cell_angle_alpha 97.02
_cell_angle_beta 97.02
_cell_angle_gamma 45.33
loop_
_space_group_symop_operation_xyz
'x,y,z'
loop_
_atom_site_label
_atom_site_fract_x
_atom_site_fract_y
_atom_site_fract_z
Na1 0.131 0.131 0.422
Na2 0.869 0.869 0.578
Li1 0.000 0.000 0.000
Li2 0.286 0.286 0.868
Li3 0.714 0.714 0.132
Hg1 0.410 0.410 0.223
Hg2 0.590 0.590 0.777

---

5.
# Na5LiHg4, relaxed, DFT GGA-PBE
# formation energy from the elements	-0.2012	eV per atom
# energy above the most stable polymorph in this dataset	0	meV/atom
# calculated total energy	-11.728	eV per cell
# total moment	0.0	μB/f.u.
data_Na5LiHg4
_chemical_formula_sum 'Na5 Li1 Hg4'
_space_group_name_H-M_alt 'P 1'
_space_group_IT_number 1
_cell_length_a 8.551
_cell_length_b 8.551
_cell_length_c 6.164
_cell_angle_alpha 95.48
_cell_angle_beta 95.48
_cell_angle_gamma 35.76
loop_
_space_group_symop_operation_xyz
'x,y,z'
loop_
_atom_site_label
_atom_site_fract_x
_atom_site_fract_y
_atom_site_fract_z
Na1 0.000 0.000 0.000
Na2 0.236 0.236 0.178
Na3 0.372 0.372 0.677
Na4 0.628 0.628 0.323
Na5 0.764 0.764 0.822
Li1 0.000 0.000 0.500
Hg1 0.164 0.164 0.666
Hg2 0.437 0.437 0.214
Hg3 0.563 0.563 0.786
Hg4 0.836 0.836 0.334

---

6.
# NaLi2Hg4, relaxed, DFT GGA-PBE
# formation energy from the elements	-0.2347	eV per atom
# calculated total energy	-7.997	eV per cell
# total moment	0.0	μB/f.u.
data_NaLi2Hg4
_chemical_formula_sum 'Na1 Li2 Hg4'
_space_group_name_H-M_alt 'P 1'
_space_group_IT_number 1
_cell_length_a 5.974
_cell_length_b 5.974
_cell_length_c 5.974
_cell_angle_alpha 107.57
_cell_angle_beta 107.57
_cell_angle_gamma 113.34
loop_
_space_group_symop_operation_xyz
'x,y,z'
loop_
_atom_site_label
_atom_site_fract_x
_atom_site_fract_y
_atom_site_fract_z
Na1 0.000 0.000 0.000
Li1 0.000 0.500 0.500
Li2 0.500 0.000 0.500
Hg1 0.000 0.000 0.500
Hg2 0.000 0.500 0.000
Hg3 0.500 0.000 0.000
Hg4 0.500 0.500 0.500

---

- What is the formula in the fifth record?
  Na5LiHg4

---

- Look up the formation energy from the elements of the fourth one.
  -0.2074 eV per atom

---

- Among the records above, which one has the lowest calculated total energy?
  Na2Li2Hg5

---

- Among the records above, which one has the lowest formation energy from the elements?
  NaLi2Hg4